[1]
Computed, not measured: a relaxed structure of LiPaAg4 at the PBE-GGA level of DFT.

space group	F-43m, No. 216
E_form	147	meV/atom

abc: 5.5604 5.5604 5.5604
angles: 60.00 60.00 60.00
Sites, in units of the cell vectors:
Li 0.0000 0.0000 0.0000
Pa 0.7500 0.7500 0.7500
Ag 0.3742 0.3742 0.3742
Ag 0.3742 0.3742 0.8774
Ag 0.3742 0.8774 0.3742
Ag 0.8774 0.3742 0.3742

***

[2]
Computed, not measured: a relaxed structure of Ca4Au5 at the PBE-GGA level of DFT.

space group	I4/mmm, No. 139
E_form	-579	meV/atom

abc: 7.3982 7.3982 7.3982
angles: 95.57 95.57 143.69
Sites, in units of the cell vectors:
Ca 0.0000 0.2861 0.2861
Ca 0.0000 0.7139 0.7139
Ca 0.2861 0.0000 0.2861
Ca 0.7139 0.0000 0.7139
Au 0.0000 0.0000 0.0000
Au 0.3207 0.3207 0.6414
Au 0.3207 0.6793 0.0000
Au 0.6793 0.3207 0.0000
Au 0.6793 0.6793 0.3586

***

[3]
Computed, not measured: a relaxed structure of CsGeIO2 at the PBE-GGA level of DFT.

space group	P4/mmm, No. 123
energy relative to the elements, uncorrected	-317	meV/atom

abc: 4.5616 4.5616 5.6161
angles: 90.00 90.00 90.00
Sites, in units of the cell vectors:
Cs 0.0000 0.0000 0.0000
Ge 0.5000 0.5000 0.5000
I 0.5000 0.5000 0.0000
O 0.0000 0.5000 0.5000
O 0.5000 0.0000 0.5000

***

[4]
Computed, not measured: a relaxed structure of LiTmThSe3 at the PBE-GGA level of DFT.

space group	P2_1/m, No. 11
energy relative to the elements, uncorrected	-1514	meV/atom

abc: 8.4592 3.9308 8.7744
angles: 90.00 103.81 90.00
Sites, in units of the cell vectors:
Li 0.0891 0.2500 0.0854
Li 0.9109 0.7500 0.9146
Tm 0.3363 0.7500 0.3549
Tm 0.6637 0.2500 0.6451
Th 0.1966 0.2500 0.7189
Th 0.8034 0.7500 0.2811
Se 0.0930 0.2500 0.3682
Se 0.2232 0.7500 0.9971
Se 0.4488 0.7500 0.6916
Se 0.5512 0.2500 0.3084
Se 0.7768 0.2500 0.0029
Se 0.9070 0.7500 0.6318

***

no.,total magnetic moment (μB/f.u.),Fermi-level density of states (states/eV/atom)
1,0.9,1.065
2,0.0,0.367
3,0.8,0.741
4,0.0,0.408